*w*
TlMoBr4: relaxed, PBE.

Cell: 7.0257 7.8112 8.7020 Å, 89.89 69.89 73.32°
Atoms (fractional coordinates):
Tl1 0.1950 0.0974 0.1334
Tl2 0.8050 0.9026 0.8666
Mo1 0.4968 0.7514 0.4985
Mo2 0.5032 0.2486 0.5015
Br1 0.2180 0.0752 0.5500
Br2 0.2209 0.5690 0.5482
Br3 0.4309 0.7648 0.8110
Br4 0.4569 0.2648 0.8090
Br5 0.5431 0.7352 0.1910
Br6 0.5691 0.2352 0.1890
Br7 0.7791 0.4310 0.4518
Br8 0.7820 0.9248 0.4500

*x*
TlMoBr4: relaxed, PBE.

Cell: 6.4548 6.4548 6.4548 Å, 60.00 60.00 60.00°
Atoms (fractional coordinates):
Tl1 0.0000 0.0000 0.0000
Mo1 0.2500 0.2500 0.2500
Br1 0.1249 0.6250 0.6250
Br2 0.6250 0.1249 0.6250
Br3 0.6250 0.6250 0.1249
Br4 0.6250 0.6250 0.6250

Stability summary: most stable *w*, least stable *x*.

*w*
TlMoBr6: relaxed, PBE.

Cell: 7.7507 7.7507 7.7507 Å, 55.13 55.13 55.13°
Atoms (fractional coordinates):
Tl1 0.0000 0.0000 0.0000
Mo1 0.5000 0.5000 0.5000
Br1 0.0965 0.5906 0.5906
Br2 0.4094 0.4094 0.9035
Br3 0.4094 0.9035 0.4094
Br4 0.5906 0.0965 0.5906
Br5 0.5906 0.5906 0.0965
Br6 0.9035 0.4094 0.4094

*x*
TlMoBr6: relaxed, PBE.

Cell: 7.1999 7.1999 11.1772 Å, 90.14 90.14 72.75°
Atoms (fractional coordinates):
Tl1 0.0117 0.9883 0.7500
Tl2 0.9883 0.0117 0.2500
Mo1 0.0000 0.5000 0.5000
Mo2 0.5000 0.0000 0.0000
Br1 0.1325 0.5350 0.2958
Br2 0.1441 0.1990 0.0028
Br3 0.1990 0.1441 0.5028
Br4 0.2763 0.5899 0.5946
Br5 0.4101 0.7237 0.9054
Br6 0.4650 0.8675 0.2042
Br7 0.5350 0.1325 0.7958
Br8 0.5899 0.2763 0.0946
Br9 0.7237 0.4101 0.4054
Br10 0.8010 0.8559 0.4972
Br11 0.8559 0.8010 0.9972
Br12 0.8675 0.4650 0.7042

Stability summary: most stable *x*, least stable *w*.

*w*
VMo2Br: relaxed, PBE.

Cell: 6.2998 6.2998 6.2998 Å, 90.00 90.00 90.00°
Atoms (fractional coordinates):
V1 0.0000 0.0000 0.0000
V2 0.0000 0.5000 0.5000
V3 0.5000 0.0000 0.5000
V4 0.5000 0.5000 0.0000
Mo1 0.2500 0.2500 0.2500
Mo2 0.2500 0.2500 0.7500
Mo3 0.2500 0.7500 0.2500
Mo4 0.2500 0.7500 0.7500
Mo5 0.7500 0.2500 0.2500
Mo6 0.7500 0.2500 0.7500
Mo7 0.7500 0.7500 0.2500
Mo8 0.7500 0.7500 0.7500
Br1 0.0000 0.0000 0.5000
Br2 0.0000 0.5000 0.0000
Br3 0.5000 0.0000 0.0000
Br4 0.5000 0.5000 0.5000

*x*
VMo2Br: relaxed, PBE.

Cell: 3.7024 3.7024 20.3584 Å, 90.00 90.00 90.00°
Atoms (fractional coordinates):
V1 0.0000 0.0000 0.0000
V2 0.0000 0.5000 0.2500
V3 0.5000 0.0000 0.7500
V4 0.5000 0.5000 0.5000
Mo1 0.2361 0.2500 0.1250
Mo2 0.2500 0.7361 0.3750
Mo3 0.2500 0.7639 0.8750
Mo4 0.2639 0.2500 0.6250
Mo5 0.7361 0.7500 0.6250
Mo6 0.7500 0.2361 0.8750
Mo7 0.7500 0.2639 0.3750
Mo8 0.7639 0.7500 0.1250
Br1 0.0000 0.0000 0.5000
Br2 0.0000 0.5000 0.7500
Br3 0.5000 0.0000 0.2500
Br4 0.5000 0.5000 0.0000

Stability summary: most stable *w*, least stable *x*.

*w*
V3MoBr: relaxed, PBE.

Cell: 4.7997 4.7997 4.7997 Å, 90.00 90.00 90.00°
Atoms (fractional coordinates):
V1 0.0000 0.0000 0.5000
V2 0.0000 0.5000 0.0000
V3 0.5000 0.0000 0.0000
Mo1 0.0000 0.0000 0.0000
Br1 0.5000 0.5000 0.5000

*x*
V3MoBr: relaxed, PBE.

Cell: 4.4338 4.4338 4.4338 Å, 90.00 90.00 90.00°
Atoms (fractional coordinates):
V1 0.0000 0.0000 0.5000
V2 0.0000 0.5000 0.0000
V3 0.5000 0.0000 0.0000
Mo1 0.5000 0.5000 0.5000
Br1 0.0000 0.0000 0.0000

Stability summary: most stable *x*, least stable *w*.

*w*
MoWBr2: relaxed, PBE.

Cell: 10.1195 3.2123 6.7960 Å, 90.00 106.15 90.00°
Atoms (fractional coordinates):
Mo1 0.0000 0.0000 0.0000
Mo2 0.5000 0.5000 0.0000
W1 0.3203 0.0000 0.9554
W2 0.8203 0.5000 0.9554
Br1 0.0759 0.5000 0.7113
Br2 0.2540 0.5000 0.2483
Br3 0.5759 0.0000 0.7113
Br4 0.7540 0.0000 0.2483

*x*
MoWBr2: relaxed, PBE.

Cell: 6.4412 6.4412 6.4412 Å, 90.00 90.00 90.00°
Atoms (fractional coordinates):
Mo1 0.0000 0.0000 0.0000
Mo2 0.0000 0.5000 0.5000
Mo3 0.5000 0.0000 0.5000
Mo4 0.5000 0.5000 0.0000
W1 0.0000 0.0000 0.5000
W2 0.0000 0.5000 0.0000
W3 0.5000 0.0000 0.0000
W4 0.5000 0.5000 0.5000
Br1 0.2500 0.2500 0.2500
Br2 0.2500 0.2500 0.7500
Br3 0.2500 0.7500 0.2500
Br4 0.2500 0.7500 0.7500
Br5 0.7500 0.2500 0.2500
Br6 0.7500 0.2500 0.7500
Br7 0.7500 0.7500 0.2500
Br8 0.7500 0.7500 0.7500

Stability summary: most stable *w*, least stable *x*.

*w*
MoWBr2: relaxed, PBE.

Cell: 3.2179 4.2546 14.9185 Å, 90.00 90.00 90.00°
Atoms (fractional coordinates):
Mo1 0.0000 0.0000 0.0000
Mo2 0.5000 0.5000 0.5000
W1 0.0000 0.0000 0.5000
W2 0.5000 0.5000 0.0000
Br1 0.0000 0.5000 0.1429
Br2 0.0000 0.5000 0.8571
Br3 0.5000 0.0000 0.3571
Br4 0.5000 0.0000 0.6429

*x*
MoWBr2: relaxed, PBE.

Cell: 4.4875 3.2281 7.4487 Å, 90.00 107.21 90.00°
Atoms (fractional coordinates):
Mo1 0.0000 0.0000 0.0000
W1 0.5643 0.5000 0.9537
Br1 0.1460 0.0000 0.6964
Br2 0.4308 0.5000 0.2579

Stability summary: most stable *x*, least stable *w*.

*w*
MoWBr2: relaxed, PBE.

Cell: 14.6593 3.1576 4.3174 Å, 90.00 97.51 90.00°
Atoms (fractional coordinates):
Mo1 0.0000 0.0000 0.0000
Mo2 0.5000 0.5000 0.0000
W1 0.0000 0.5000 0.5000
W2 0.5000 0.0000 0.5000
Br1 0.1461 0.5000 0.2305
Br2 0.3539 0.0000 0.7695
Br3 0.6461 0.0000 0.2305
Br4 0.8539 0.5000 0.7695

*x*
MoWBr2: relaxed, PBE.

Cell: 3.3549 3.3549 27.9025 Å, 90.00 90.00 120.00°
Atoms (fractional coordinates):
Mo1 0.0000 0.0000 0.0000
Mo2 0.3333 0.6667 0.6667
Mo3 0.6667 0.3333 0.3333
W1 0.0000 0.0000 0.7262
W2 0.3333 0.6667 0.3929
W3 0.6667 0.3333 0.0596
Br1 0.0000 0.0000 0.2602
Br2 0.0000 0.0000 0.4663
Br3 0.3333 0.6667 0.1330
Br4 0.3333 0.6667 0.9269
Br5 0.6667 0.3333 0.5936
Br6 0.6667 0.3333 0.7997

*y*
MoWBr2: relaxed, PBE.

Cell: 5.9032 5.9032 10.4471 Å, 90.00 90.00 90.00°
Atoms (fractional coordinates):
Mo1 0.0000 0.0000 0.0000
Mo2 0.0000 0.5000 0.2500
Mo3 0.5000 0.0000 0.7500
Mo4 0.5000 0.5000 0.5000
W1 0.0000 0.0000 0.5000
W2 0.0000 0.5000 0.7500
W3 0.5000 0.0000 0.2500
W4 0.5000 0.5000 0.0000
Br1 0.2479 0.2500 0.6250
Br2 0.2500 0.7479 0.8750
Br3 0.2500 0.7521 0.3750
Br4 0.2521 0.2500 0.1250
Br5 0.7479 0.7500 0.1250
Br6 0.7500 0.2479 0.3750
Br7 0.7500 0.2521 0.8750
Br8 0.7521 0.7500 0.6250

Stability summary: most stable *x*, least stable *y*.

*w*
MoWBr2: relaxed, PBE.

Cell: 4.5537 4.5537 3.2268 Å, 90.00 90.00 90.00°
Atoms (fractional coordinates):
Mo1 0.0000 0.0000 0.0000
W1 0.5000 0.5000 0.0000
Br1 0.0000 0.5000 0.5000
Br2 0.5000 0.0000 0.5000

*x*
MoWBr2: relaxed, PBE.

Cell: 3.0984 3.0984 26.8006 Å, 90.00 90.00 120.00°
Atoms (fractional coordinates):
Mo1 0.0000 0.0000 0.0000
Mo2 0.3333 0.6667 0.6667
Mo3 0.6667 0.3333 0.3333
W1 0.0000 0.0000 0.5000
W2 0.3333 0.6667 0.1667
W3 0.6667 0.3333 0.8333
Br1 0.0000 0.0000 0.4059
Br2 0.0000 0.0000 0.5941
Br3 0.3333 0.6667 0.0725
Br4 0.3333 0.6667 0.2608
Br5 0.6667 0.3333 0.7392
Br6 0.6667 0.3333 0.9275

*y*
MoWBr2: relaxed, PBE.

Cell: 2.9387 4.5131 5.8901 Å, 90.00 104.08 90.00°
Atoms (fractional coordinates):
Mo1 0.0000 0.0000 0.0000
W1 0.0000 0.0000 0.5000
Br1 0.0603 0.5000 0.7548
Br2 0.9397 0.5000 0.2452

Stability summary: most stable *x*, least stable *w*.

*w*
MoWBr2: relaxed, PBE.

Cell: 4.2694 4.2694 7.9937 Å, 90.00 90.00 90.00°
Atoms (fractional coordinates):
Mo1 0.0000 0.0000 0.0000
Mo2 0.5000 0.5000 0.5000
W1 0.0000 0.5000 0.7500
W2 0.5000 0.0000 0.2500
Br1 0.0000 0.0000 0.5000
Br2 0.0000 0.5000 0.2500
Br3 0.5000 0.0000 0.7500
Br4 0.5000 0.5000 0.0000

*x*
MoWBr2: relaxed, PBE.

Cell: 3.0552 3.0552 8.9510 Å, 90.00 90.00 90.00°
Atoms (fractional coordinates):
Mo1 0.0000 0.0000 0.0000
W1 0.5000 0.5000 0.2053
Br1 0.0000 0.0000 0.3993
Br2 0.5000 0.5000 0.8083

Stability summary: most stable *x*, least stable *w*.

*w*
MoWBr2: relaxed, PBE.

Cell: 3.2222 4.4107 14.3476 Å, 90.00 90.00 90.00°
Atoms (fractional coordinates):
Mo1 0.0000 0.0000 0.0000
Mo2 0.5000 0.5000 0.5000
W1 0.0000 0.5000 0.6213
W2 0.5000 0.0000 0.1213
Br1 0.0000 0.0000 0.4203
Br2 0.0000 0.5000 0.1865
Br3 0.5000 0.0000 0.6865
Br4 0.5000 0.5000 0.9203

*x*
MoWBr2: relaxed, PBE.

Cell: 2.9611 4.5943 5.6600 Å, 90.00 90.00 90.00°
Atoms (fractional coordinates):
Mo1 0.0000 0.0000 0.0000
W1 0.5000 0.0000 0.5000
Br1 0.0000 0.5000 0.5000
Br2 0.5000 0.5000 0.0000

Stability summary: most stable *w*, least stable *x*.

*w*
Mo2WBr: relaxed, PBE.

Cell: 3.7904 3.7904 9.2464 Å, 90.00 90.00 90.00°
Atoms (fractional coordinates):
Mo1 0.0000 0.0000 0.0000
Mo2 0.0000 0.5000 0.2500
Mo3 0.5000 0.0000 0.7500
Mo4 0.5000 0.5000 0.5000
W1 0.0000 0.5000 0.7500
W2 0.5000 0.0000 0.2500
Br1 0.0000 0.0000 0.5000
Br2 0.5000 0.5000 0.0000

*x*
Mo2WBr: relaxed, PBE.

Cell: 7.1937 7.1937 5.5780 Å, 90.00 90.00 90.00°
Atoms (fractional coordinates):
Mo1 0.2415 0.2500 0.1250
Mo2 0.2500 0.7415 0.3750
Mo3 0.2500 0.7585 0.8750
Mo4 0.2585 0.2500 0.6250
Mo5 0.7415 0.7500 0.6250
Mo6 0.7500 0.2415 0.8750
Mo7 0.7500 0.2585 0.3750
Mo8 0.7585 0.7500 0.1250
W1 0.0000 0.0000 0.0000
W2 0.0000 0.5000 0.2500
W3 0.5000 0.0000 0.7500
W4 0.5000 0.5000 0.5000
Br1 0.0000 0.0000 0.5000
Br2 0.0000 0.5000 0.7500
Br3 0.5000 0.0000 0.2500
Br4 0.5000 0.5000 0.0000

*y*
Mo2WBr: relaxed, PBE.

Cell: 3.8525 3.8525 8.8743 Å, 90.00 90.00 90.00°
Atoms (fractional coordinates):
Mo1 0.0000 0.5000 0.2500
Mo2 0.0000 0.5000 0.7500
Mo3 0.5000 0.0000 0.2500
Mo4 0.5000 0.0000 0.7500
W1 0.0000 0.0000 0.0000
W2 0.5000 0.5000 0.5000
Br1 0.0000 0.0000 0.5000
Br2 0.5000 0.5000 0.0000

Stability summary: most stable *w*, least stable *x*.